No. 1
Here is crystalline VCo2Cu2 at its relaxed geometry from Alexandria. Energies are from GGA-PBE.

It has space group P4/mbm (No. 127), with a = 6.886 Å, b = 6.886 Å, c = 2.555 Å, α = 90.00°, β = 90.00° and γ = 90.00°. Symmetry generates all atoms from V at (0.000, 0.000, 0.000), Co at (0.120, 0.380, 0.000) and Cu at (0.177, 0.677, 0.500).

For the energy above the most stable polymorph in this dataset, the calculation gives 0 meV per atom. The value obtained for the formation energy is 146 kJ/mol of formula units.


No. 2
Here is crystalline Pr2Al2Ge at its relaxed geometry from Alexandria. Energies are from GGA-PBE.

It has space group C2/m (No. 12), with a = 11.487 Å, b = 4.261 Å, c = 11.450 Å, α = 90.00°, β = 116.56° and γ = 90.00°. Symmetry generates all atoms from Pr at (0.104, 0.000, 0.401), Pr at (0.207, 0.500, 0.142), Al at (0.025, 0.000, 0.905), Al at (0.125, 0.500, 0.617) and Ge at (0.067, 0.500, 0.812).

The value obtained for the formation energy is -269 kJ/mol of formula units.


No. 3
Here is crystalline InAsRuBr2 at its relaxed geometry from Alexandria. Energies are from GGA-PBE.

It has space group P4/mmm (No. 123), with a = 5.370 Å, b = 5.370 Å, c = 4.652 Å, α = 90.00°, β = 90.00° and γ = 90.00°. Symmetry generates all atoms from In at (0.000, 0.000, 0.000), As at (0.500, 0.500, 0.000), Ru at (0.500, 0.500, 0.500) and Br at (0.000, 0.500, 0.500).

For the energy above the most stable polymorph in this dataset, the calculation gives 0 meV per atom. The energy relative to the elements, uncorrected comes out at 53.3 meV per atom.


No. 4
Here is crystalline Sm3AuCCl at its relaxed geometry from Alexandria. Energies are from GGA-PBE.

It has space group P2_1/m (No. 11), with a = 8.833 Å, b = 3.780 Å, c = 8.969 Å, α = 90.00°, β = 95.15° and γ = 90.00°. Symmetry generates all atoms from Sm at (0.068, 0.250, 0.353), Sm at (0.160, 0.250, 0.922), Sm at (0.331, 0.750, 0.615), Au at (0.327, 0.750, 0.276), C at (0.143, 0.250, 0.640) and Cl at (0.385, 0.750, 0.916).

The energy relative to the elements, uncorrected comes out at -685.1 meV per atom.